Material: Ac2Dy2Y15
Method: DFT, PBE
State: relaxed

Summary:
* formation energy: 28.8 kJ per mole of atoms
* V: 664 Å³ per cell
* D(E_F): 1.77 states/eV per atom
* symmetry: R-3m (166)

Cell lengths 8.851, 8.851, 8.851 Å; angles 79.81, 79.81, 79.81 degrees
Positions (direct):
Ac 0.111 0.111 0.111
Ac 0.889 0.889 0.889
Dy 0.328 0.328 0.328
Dy 0.672 0.672 0.672
Y 0.000 0.000 0.500
Y 0.000 0.307 0.693
Y 0.000 0.500 0.000
Y 0.000 0.693 0.307
Y 0.156 0.628 0.628
Y 0.307 0.000 0.693
Y 0.307 0.693 0.000
Y 0.372 0.372 0.844
Y 0.372 0.844 0.372
Y 0.500 0.000 0.000
Y 0.628 0.156 0.628
Y 0.628 0.628 0.156
Y 0.693 0.000 0.307
Y 0.693 0.307 0.000
Y 0.844 0.372 0.372